Record 1
# BeRu2Se

An optimized crystal structure of BeRu2Se (PBEsol, the Alexandria database).

abc: 2.898 2.898 7.262
angles: 78.49 78.49 60.00
Atoms (fractional coordinates):
Ru: 0.743 0.743 0.771
Ru: 0.257 0.257 0.229
Se: 0.500 0.500 0.500
Be: 0.000 0.000 0.000

The energy above the most stable polymorph in this dataset is 46.3 meV per atom. The density of states at the Fermi level comes out at 2.91 states/eV/f.u. The calculation puts the formation energy (no corrections) at 0.167 eV per atom.


Record 2
# BeRu2Se

An optimized crystal structure of BeRu2Se (PBEsol, the Alexandria database).

abc: 4.217 4.217 4.217
angles: 60.00 60.00 60.00
Atoms (fractional coordinates):
Ru: 0.000 0.000 0.000
Ru: 0.750 0.750 0.750
Se: 0.250 0.250 0.250
Be: 0.500 0.500 0.500

The energy above the most stable polymorph in this dataset is 368.8 meV per atom. The density of states at the Fermi level comes out at 4.06 states/eV/f.u. The calculation puts the formation energy (no corrections) at 0.490 eV per atom.


Record 3
# BeSiRu

An optimized crystal structure of BeSiRu (PBEsol, the Alexandria database).

abc: 2.950 2.950 4.336
angles: 109.89 109.89 90.00
Atoms (fractional coordinates):
Ru: 0.664 0.664 0.328
Be: 0.001 0.001 0.002
Si: 0.335 0.335 0.670

The density of states at the Fermi level comes out at 0.06 states/eV/f.u. The calculation puts the formation energy (no corrections) at -0.620 eV per atom.


Record 4
# YBe2SiRu

An optimized crystal structure of YBe2SiRu (PBEsol, the Alexandria database).

abc: 4.240 4.240 4.432
angles: 90.00 90.00 90.00
Atoms (fractional coordinates):
Be: 0.000 0.500 0.000
Be: 0.500 0.000 0.000
Y: 0.500 0.500 0.500
Ru: 0.000 0.000 0.000
Si: 0.000 0.000 0.500

The density of states at the Fermi level comes out at 2.03 states/eV/f.u. The calculation puts the formation energy (no corrections) at -0.230 eV per atom.


Record 5
# BeZnSnRu2

An optimized crystal structure of BeZnSnRu2 (PBEsol, the Alexandria database).

abc: 4.636 4.798 4.798
angles: 90.00 90.00 90.00
Atoms (fractional coordinates):
Zn: 0.500 0.000 0.000
Sn: 0.000 0.000 0.000
Ru: 0.000 0.000 0.500
Ru: 0.000 0.500 0.000
Be: 0.500 0.500 0.500

The density of states at the Fermi level comes out at 5.53 states/eV/f.u. As for the calculated formation energy: 1.92 eV per atom.


Record 6
# Sr2BeRu

An optimized crystal structure of Sr2BeRu (PBEsol, the Alexandria database).

abc: 3.310 3.310 8.572
angles: 90.00 90.00 90.00
Atoms (fractional coordinates):
Sr: 0.500 0.500 0.337
Sr: 0.000 0.000 0.913
Ru: 0.500 0.500 0.655
Be: 0.000 0.000 0.595

The density of states at the Fermi level comes out at 1.59 states/eV/f.u. As for the calculated formation energy: 0.22 eV per atom.


Record 7
# SrBe3Ru

An optimized crystal structure of SrBe3Ru (PBEsol, the Alexandria database).

abc: 4.349 4.349 4.349
angles: 90.00 90.00 90.00
Atoms (fractional coordinates):
Ru: 0.000 0.000 0.000
Be: 0.000 0.000 0.500
Be: 0.500 0.000 0.000
Be: 0.000 0.500 0.000
Sr: 0.500 0.500 0.500

The density of states at the Fermi level comes out at 1.36 states/eV/f.u. As for the calculated formation energy: 0.13 eV per atom.


Record 8
# Sr2BeRu

An optimized crystal structure of Sr2BeRu (PBEsol, the Alexandria database).

abc: 3.545 3.545 9.391
angles: 79.12 79.12 60.00
Atoms (fractional coordinates):
Ru: 0.000 0.000 0.000
Be: 0.500 0.500 0.500
Sr: 0.257 0.257 0.230
Sr: 0.743 0.743 0.770

The density of states at the Fermi level comes out at 4.10 states/eV/f.u. As for the calculated formation energy: 0.99 eV per atom.


Record 9
# Sr2BeRu

An optimized crystal structure of Sr2BeRu (PBEsol, the Alexandria database).

abc: 3.641 5.044 5.044
angles: 90.03 90.00 90.00
Atoms (fractional coordinates):
Be: 0.500 0.000 0.000
Sr: 0.000 0.000 0.500
Sr: 0.000 0.500 0.000
Ru: 0.500 0.500 0.500

The density of states at the Fermi level comes out at 4.45 states/eV/f.u. As for the calculated formation energy: 0.74 eV per atom.


Record 10
# TaBeRu2

An optimized crystal structure of TaBeRu2 (PBEsol, the Alexandria database).

abc: 2.846 2.846 7.765
angles: 79.44 79.44 60.00
Atoms (fractional coordinates):
Ru: 0.739 0.739 0.784
Ru: 0.261 0.261 0.216
Be: 0.000 0.000 0.000
Ta: 0.500 0.500 0.500

The density of states at the Fermi level comes out at 2.79 states/eV/f.u. As for the calculated formation energy: 0.01 eV per atom.


Record 11
# TaBeRu2

An optimized crystal structure of TaBeRu2 (PBEsol, the Alexandria database).

abc: 3.028 3.028 5.759
angles: 90.00 90.00 90.00
Atoms (fractional coordinates):
Be: 0.500 0.500 0.750
Ru: 0.000 0.000 0.978
Ru: 0.000 0.000 0.522
Ta: 0.500 0.500 0.250

The density of states at the Fermi level comes out at 2.29 states/eV/f.u. As for the calculated formation energy: -0.37 eV per atom.


Record 12
# TaBeRu2

An optimized crystal structure of TaBeRu2 (PBEsol, the Alexandria database).

abc: 3.111 4.024 4.946
angles: 114.00 108.33 90.00
Atoms (fractional coordinates):
Be: 0.259 0.759 0.519
Ru: 0.990 0.990 0.981
Ru: 0.748 0.248 0.497
Ta: 0.502 0.502 0.004

The density of states at the Fermi level comes out at 2.68 states/eV/f.u. As for the calculated formation energy: -0.18 eV per atom.